A PBEsol-optimized structure of TaCu2Rh. Source: Alexandria via LeMat-Bulk, functional meta-GGA SCAN.

The value obtained for the energy of formation from the pure elements is -0.044 eV per atom. As for the total energy: -32.732 eV/atom. The calculation puts the total moment at 0.00 μB/atom.

Lattice parameters (Å, degrees): 3.6936 3.6936 3.9663 90.00 90.00 90.00
Fractional positions:
Cu  0.0000  0.5000  0.0000
Cu  0.5000  0.0000  0.0000
Rh  0.5000  0.5000  0.5000
Ta  0.0000  0.0000  0.5000